(1)
Compound: Cs3Hg2PbCl9
Source: Alexandria
Functional: PBE
Structure: optimized geometry

```
Cs3Hg2PbCl9
1.0
7.770 0.000 0.000
-3.885 6.729 0.000
0.000 0.000 9.534
Cs Hg Pb Cl
3 2 1 9
direct
0.000 0.000 0.000
0.333 0.667 0.674
0.667 0.333 0.326
0.333 0.667 0.159
0.667 0.333 0.841
0.000 0.000 0.500
0.000 0.500 0.000
0.171 0.342 0.326
0.171 0.829 0.326
0.342 0.171 0.674
0.500 0.000 0.000
0.500 0.500 0.000
0.658 0.829 0.326
0.829 0.171 0.674
0.829 0.658 0.674
```

- raw formation energy (kJ/mol of formula units) = -1868

***

(2)
Compound: LiCd2Ir
Source: Alexandria
Functional: PBE
Structure: optimized geometry

```
LiCd2Ir
1.0
4.050 0.000 0.000
0.000 4.050 0.000
0.000 0.000 8.295
Li Cd Ir
2 4 2
direct
0.000 0.000 0.000
0.500 0.500 0.500
0.000 0.000 0.500
0.000 0.500 0.750
0.500 0.000 0.250
0.500 0.500 0.000
0.000 0.500 0.250
0.500 0.000 0.750
```

- formation enthalpy at 0 K (kcal/mol of atoms) = -1.03
- D(E_F) (states/eV per cell) = 2.80

***

Electronic total energy / eV/f.u.: -42.85 -12.78